Here is an optimized crystal structure of MgBMoF2 from Alexandria via LeMat-Bulk. Energies are from GGA+U.

Lattice parameters (Å, degrees): 4.156 4.593 4.156 90.00 90.00 90.00
Each line ends with the local moment (μB).
Positions (direct):
F: 0.500 0.000 0.000  0.05
F: 0.000 0.000 0.500  0.08
B: 0.000 0.000 0.000  -0.03
Mo: 0.000 0.500 0.000  3.46
Mg: 0.500 0.500 0.500  -0.03

Output
The volume is 15.87 A^3/atom. For the calculated total energy, the calculation gives -3.756 eV/atom.